(1)
VASP calculation (GGA-PBE) on an optimized crystal structure of Al2RuAu.

Its energy is -0.3917 Ry per atom. Its symmetry is No. 12.

a b c (Å): 4.478 4.478 4.917
angles (deg): 102.13 102.13 39.77
Fractional coordinates of all 4 atoms:
Al 0.243 0.243 0.228
Al 0.757 0.757 0.772
Ru 0.500 0.500 0.000
Au 0.000 0.000 0.500

(2)
VASP calculation (GGA-PBE) on an optimized crystal structure of CePrAg.

Its energy is -0.3378 Ry per atom. Its symmetry is No. 63.

a b c (Å): 8.726 8.726 5.503
angles (deg): 90.00 90.00 156.53
Fractional coordinates of all 6 atoms:
Ce 0.238 0.762 0.750
Ce 0.762 0.238 0.250
Pr 0.078 0.922 0.250
Pr 0.922 0.078 0.750
Ag 0.414 0.586 0.250
Ag 0.586 0.414 0.750

(3)
VASP calculation (GGA-PBE) on an optimized crystal structure of CeCuGe2.

Its energy is -0.3633 Ry per atom. Its symmetry is No. 63.

a b c (Å): 10.875 10.875 3.956
angles (deg): 90.00 90.00 157.64
Fractional coordinates of all 8 atoms:
Ce 0.141 0.859 0.750
Ce 0.859 0.141 0.250
Cu 0.409 0.591 0.750
Cu 0.591 0.409 0.250
Ge 0.034 0.966 0.250
Ge 0.256 0.744 0.250
Ge 0.744 0.256 0.750
Ge 0.966 0.034 0.750

(4)
VASP calculation (GGA-PBE) on an optimized crystal structure of CsSrAl2Br8.

The energy relative to the elements, uncorrected is -1.324 eV/atom. Its symmetry is No. 148.

a b c (Å): 11.179 11.179 11.179
angles (deg): 37.68 37.68 37.68
Fractional coordinates of all 12 atoms:
Cs 0.000 0.000 0.000
Sr 0.500 0.500 0.500
Al 0.249 0.249 0.249
Al 0.751 0.751 0.751
Br 0.090 0.789 0.444
Br 0.211 0.556 0.910
Br 0.325 0.325 0.325
Br 0.444 0.090 0.789
Br 0.556 0.910 0.211
Br 0.675 0.675 0.675
Br 0.789 0.444 0.090
Br 0.910 0.211 0.556

(5)
VASP calculation (GGA-PBE) on an optimized crystal structure of LaTmZnPt.

Its energy is -0.3600 Ry per atom. Its symmetry is No. 216.

a b c (Å): 5.090 5.090 5.090
angles (deg): 60.00 60.00 60.00
Fractional coordinates of all 4 atoms:
La 0.000 0.000 0.000
Tm 0.500 0.500 0.500
Zn 0.750 0.750 0.750
Pt 0.250 0.250 0.250

(6)
VASP calculation (GGA-PBE) on an optimized crystal structure of ZnAg2PbO4.

The energy relative to the elements, uncorrected is -0.612 eV/atom. Its symmetry is No. 82.

a b c (Å): 5.947 5.947 5.947
angles (deg): 126.84 126.84 78.52
Fractional coordinates of all 8 atoms:
Zn 0.000 0.000 0.000
Ag 0.500 0.500 0.000
Ag 0.750 0.250 0.500
Pb 0.250 0.750 0.500
O 0.118 0.082 0.438
O 0.320 0.882 0.964
O 0.643 0.680 0.562
O 0.918 0.357 0.036

Computed theoretical density (g/cm3) in order:
9.51, 7.74, 6.51, 3.24, 10.12, 7.03
Computed magnetization (μB per formula unit) in order:
0.0, 1.0, 0.7, 0.6, 0.0, 0.0
Computed D(E_F) (states/eV per atom) in order:
0.542, 2.026, 1.380, 0.464, 0.835, 0.394